Record 1
PBEsol LaAl3, relaxed; space group = P6_3/mmc (194); crystal system = hexagonal; energy = -4.76 eV/atom
1.0
-1.039 -5.920 2.338
1.058 0.837 -6.307
14.413 -1.662 2.197
Al La
18 6
Direct
0.528 0.472 0.250
0.655 0.827 0.581
0.827 0.173 0.081
0.528 0.057 0.250
0.827 0.655 0.081
0.655 0.827 0.919
0.827 0.173 0.419
0.345 0.173 0.419
0.827 0.655 0.419
0.472 0.943 0.750
0.173 0.345 0.581
0.173 0.827 0.919
0.345 0.173 0.081
0.057 0.528 0.750
0.472 0.528 0.750
0.173 0.827 0.581
0.173 0.345 0.919
0.943 0.472 0.250
0.667 0.333 0.905
0.333 0.667 0.405
0.333 0.667 0.095
0.667 0.333 0.595
0.000 0.000 0.750
0.000 0.000 0.250

Record 2
PBEsol TlFe2Se2, relaxed; space group = I4/mmm (139); formation energy without anion corrections = 0.19 eV per atom; crystal system = tetragonal; polymorph energy (0 for the lowest one) = 0.4165 eV per atom
1.0
4.780 0.000 0.000
-2.390 4.732 0.009
0.000 2.407 4.130
Se Tl Fe
2 1 2
Direct
0.250 0.500 0.250
0.750 0.500 0.750
0.000 0.000 0.000
0.361 0.721 0.639
0.639 0.279 0.361